# 1
YPd2Pb | OQMD via LeMat-Bulk | GGA-PBE | optimized geometry; size of the total moment = 0.00 μB/f.u.; calculated volume = 82.2 Å³ per cell; energy = -0.20668 Ha/atom
1.0
0.6518 -3.1490 3.6707
-3.5143 -3.1920 1.1296
0.6223 -4.7482 -0.9398
Y Pd Pb
1 2 1
Direct
0.2500 0.2500 0.2500
0.0000 0.0000 0.0000
0.7500 0.7500 0.7500
0.5000 0.5000 0.5000

# 2
Sc2CdAg | OQMD via LeMat-Bulk | GGA-PBE | optimized geometry; size of the total moment = 0.96 μB/f.u.; calculated volume = 81.9 Å³ per cell; energy = -0.15383 Ha/atom; ΔH_f (0 K) = -0.092 eV per atom
1.0
-4.4600 -1.7148 -0.9689
-3.5072 0.2841 3.3748
-3.7216 3.0908 -0.6060
Sc Cd Ag
2 1 1
Direct
0.7500 0.7500 0.7500
0.0000 0.0000 0.0000
0.2500 0.2500 0.2500
0.5000 0.5000 0.5000

# 3
BeCdSO | OQMD via LeMat-Bulk | GGA-PBE | optimized geometry; energy above the lowest structure with this stoichiometry = 1195 meV/atom; calculated volume = 137.2 Å³ per cell; energy = -0.13521 Ha/atom
1.0
3.7302 0.0000 0.0000
0.0000 3.7302 0.0000
0.0000 0.0000 9.8579
Cd O S Be
2 2 2 2
Direct
0.7500 0.7500 0.6117
0.2500 0.2500 0.3883
0.7500 0.2500 0.5000
0.2500 0.7500 0.5000
0.2500 0.2500 0.1232
0.7500 0.7500 0.8768
0.7500 0.7500 0.0814
0.2500 0.2500 0.9186

# 4
Ac2Zn | OQMD via LeMat-Bulk | GGA-PBE | optimized geometry; size of the total moment = 0.57 μB/f.u.; calculated volume = 614.8 Å³ per cell; energy = -0.07157 Ha/atom; ΔH_f (0 K) = 1.211 eV per atom
1.0
4.7723 2.7553 7.7931
-4.7723 2.7553 7.7931
0.0000 -5.5106 7.7931
Ac Zn
4 2
Direct
0.3750 0.3750 0.3750
0.8750 0.3750 0.3750
0.3750 0.8750 0.3750
0.3750 0.3750 0.8750
0.5000 0.5000 0.5000
0.2500 0.2500 0.2500

# 5
SrNdSn2Pd4 | OQMD via LeMat-Bulk | GGA-PBE | optimized geometry; size of the total moment = 0.00 μB/f.u.; calculated volume = 179.7 Å³ per cell; energy = -0.18969 Ha/atom
1.0
-3.3119 -2.0825 -2.4734
4.3484 0.1072 -1.5821
1.8587 -8.3512 4.5426
Pd Sn Nd Sr
4 2 1 1
Direct
0.6667 0.3333 0.1647
0.6667 0.3333 0.8353
0.0000 0.0000 0.3072
0.0000 0.0000 0.6928
0.3333 0.6667 0.7600
0.3333 0.6667 0.2400
0.0000 0.0000 0.0000
0.6667 0.3333 0.5000

# 6
K2TaP6W | OQMD via LeMat-Bulk | GGA-PBE | optimized geometry; size of the total moment = 0.00 μB/f.u.; calculated volume = 445.5 Å³ per cell; energy = -0.22005 Ha/atom
1.0
-3.2455 3.7809 3.8912
-5.1563 0.9389 -5.2106
-6.1221 -7.2919 1.9987
P K Ta W
12 4 2 2
Direct
0.5504 0.4532 0.2521
0.3004 0.7037 0.0017
0.7992 0.7035 0.0022
0.8000 0.2042 0.5015
0.3004 0.2041 0.5016
0.0503 0.9528 0.7523
0.8006 0.1958 0.9987
0.2991 0.1959 0.9986
0.5497 0.4474 0.7476
0.2998 0.6965 0.4983
0.8002 0.6967 0.4980
0.0498 0.9466 0.2479
0.5497 0.9494 0.2501
0.5503 0.9510 0.7498
0.0496 0.4494 0.7502
0.0504 0.4506 0.2497
0.0502 0.9506 0.5003
0.5498 0.4496 0.0000
0.0499 0.9487 0.9998
0.5500 0.4504 0.4997

Question: Number 3 is which compound?
Answer: BeCdSO

Question: Among the records above, which one has the lowest energy?
Answer: K2TaP6W

Question: Look up the energy of the sixth one.
Answer: -0.22005 Ha/atom